No. 1
Computed, not measured: a relaxed structure of TbY2Cu4Si2Ge2 at the GGA-PBE level of DFT.

Unit cell a=7.9419 b=7.9419 c=7.9419 alpha=149.43 beta=130.85 gamma=59.00
Element x y z (fractional)
Tb  0.0000  0.0000  0.0000
Y  0.3707  0.8707  0.5000
Y  0.6293  0.1293  0.5000
Cu  0.0265  0.3367  0.6899
Cu  0.3532  0.6633  0.6899
Cu  0.6468  0.3367  0.3101
Cu  0.9735  0.6633  0.3101
Si  0.3168  0.5000  0.8168
Si  0.6832  0.5000  0.1832
Ge  0.2169  0.2169  0.0000
Ge  0.7831  0.7831  0.0000

For the relative energy among the computed polymorphs, the calculation gives 0.006 eV/atom. The spin magnetization comes out at 0.001 μB/cell.

=====

No. 2
Computed, not measured: a relaxed structure of Tb2YCu4Si2Ge2 at the GGA-PBE level of DFT.

Unit cell a=7.9490 b=7.9490 c=7.9490 alpha=149.38 beta=131.01 gamma=58.88
Element x y z (fractional)
Tb  0.1303  0.1303  0.0000
Tb  0.8697  0.8697  0.0000
Y  0.5000  0.0000  0.5000
Cu  0.1478  0.3373  0.8105
Cu  0.4732  0.6627  0.8105
Cu  0.5268  0.3373  0.1895
Cu  0.8522  0.6627  0.1895
Si  0.1830  0.5000  0.6830
Si  0.8170  0.5000  0.3170
Ge  0.2835  0.7835  0.5000
Ge  0.7165  0.2165  0.5000

For the relative energy among the computed polymorphs, the calculation gives 0.006 eV/atom. The spin magnetization comes out at 0.001 μB/cell.

=====

No. 3
Computed, not measured: a relaxed structure of Tb2YCu4Si2Ge2 at the GGA-PBE level of DFT.

Unit cell a=7.9635 b=7.9635 c=7.9635 alpha=149.72 beta=130.94 gamma=58.75
Element x y z (fractional)
Tb  0.1303  0.1303  0.0000
Tb  0.8697  0.8697  0.0000
Y  0.5000  0.0000  0.5000
Cu  0.1364  0.3263  0.8101
Cu  0.4838  0.6737  0.8101
Cu  0.5162  0.3263  0.1899
Cu  0.8636  0.6737  0.1899
Si  0.2838  0.7838  0.5000
Si  0.7162  0.2162  0.5000
Ge  0.1924  0.5000  0.6924
Ge  0.8076  0.5000  0.3076

For the relative energy among the computed polymorphs, the calculation gives 0.000 eV/atom. The spin magnetization comes out at 0.001 μB/cell.

=====

No. 4
Computed, not measured: a relaxed structure of YTm2Cu4Si2Ge2 at the GGA-PBE level of DFT.

Unit cell a=7.8859 b=7.8859 c=7.8859 alpha=149.56 beta=130.59 gamma=59.15
Element x y z (fractional)
Y  0.0000  0.0000  0.0000
Tm  0.3712  0.8712  0.5000
Tm  0.6288  0.1288  0.5000
Cu  0.0276  0.3362  0.6914
Cu  0.3552  0.6638  0.6914
Cu  0.6448  0.3362  0.3086
Cu  0.9724  0.6638  0.3086
Si  0.3174  0.5000  0.8174
Si  0.6826  0.5000  0.1826
Ge  0.2180  0.2180  0.0000
Ge  0.7820  0.7820  0.0000

For the relative energy among the computed polymorphs, the calculation gives 0.008 eV/atom. The spin magnetization comes out at 0.002 μB/cell.

=====

No. 5
Computed, not measured: a relaxed structure of YTm2Cu4Si2Ge2 at the GGA-PBE level of DFT.

Unit cell a=7.8802 b=7.8802 c=7.8802 alpha=149.84 beta=130.48 gamma=59.08
Element x y z (fractional)
Y  0.0000  0.0000  0.0000
Tm  0.3705  0.8705  0.5000
Tm  0.6295  0.1295  0.5000
Cu  0.0166  0.3254  0.6912
Cu  0.3658  0.6746  0.6912
Cu  0.6342  0.3254  0.3088
Cu  0.9834  0.6746  0.3088
Si  0.2175  0.2175  0.0000
Si  0.7825  0.7825  0.0000
Ge  0.3085  0.5000  0.8085
Ge  0.6915  0.5000  0.1915

For the relative energy among the computed polymorphs, the calculation gives 0.000 eV/atom. The spin magnetization comes out at 0.002 μB/cell.

=====

No. 6
Computed, not measured: a relaxed structure of Y2TmCu4Si2Ge2 at the GGA-PBE level of DFT.

Unit cell a=7.9196 b=7.9196 c=7.9196 alpha=149.71 beta=130.90 gamma=58.79
Element x y z (fractional)
Y  0.1296  0.1296  0.0000
Y  0.8704  0.8704  0.0000
Tm  0.5000  0.0000  0.5000
Cu  0.1363  0.3262  0.8100
Cu  0.4838  0.6738  0.8100
Cu  0.5162  0.3262  0.1900
Cu  0.8637  0.6738  0.1900
Si  0.2844  0.7844  0.5000
Si  0.7156  0.2156  0.5000
Ge  0.1949  0.5000  0.6949
Ge  0.8051  0.5000  0.3051

For the energy, the calculation gives -59.369 eV/f.u. The spin magnetization comes out at 0.001 μB/cell.

=====

No. 7
Computed, not measured: a relaxed structure of Y2Cu2SiGe at the GGA-PBE level of DFT.

Unit cell a=4.1805 b=4.1805 c=7.5305 alpha=90.00 beta=90.00 gamma=120.00
Element x y z (fractional)
Y  0.0000  0.0000  0.2478
Y  0.0000  0.0000  0.7522
Cu  0.3333  0.6667  0.0000
Cu  0.6667  0.3333  0.5000
Si  0.6667  0.3333  0.0000
Ge  0.3333  0.6667  0.5000

For the relative energy among the computed polymorphs, the calculation gives 0.000 eV/atom. The spin magnetization comes out at 0.010 μB/cell.

=====

No. 8
Computed, not measured: a relaxed structure of Y2Cu2SiGe at the GGA-PBE level of DFT.

Unit cell a=10.7263 b=4.3783 c=10.7277 alpha=90.00 beta=109.48 gamma=90.00
Element x y z (fractional)
Y  0.0000  0.0000  0.0000
Y  0.1223  0.5000  0.3723
Y  0.2493  0.0000  0.7473
Y  0.3766  0.5000  0.1245
Y  0.5016  0.0000  0.5015
Y  0.6248  0.5000  0.8747
Y  0.7479  0.0000  0.2496
Y  0.8750  0.5000  0.6270
Cu  0.1207  0.5000  0.6201
Cu  0.2535  0.0000  0.9987
Cu  0.3745  0.5000  0.3749
Cu  0.5029  0.0000  0.7533
Cu  0.6254  0.5000  0.1213
Cu  0.7540  0.0000  0.5035
Cu  0.8720  0.5000  0.8761
Cu  0.9948  0.0000  0.2488
Si  0.4996  0.0000  0.9988
Si  0.7501  0.0000  0.7508
Si  0.8734  0.5000  0.1241
Si  0.9986  0.0000  0.4990
Ge  0.1255  0.5000  0.8745
Ge  0.2502  0.0000  0.2496
Ge  0.3745  0.5000  0.6240
Ge  0.6252  0.5000  0.3757

For the relative energy among the computed polymorphs, the calculation gives 0.146 eV/atom. The spin magnetization comes out at 0.004 μB/cell.

=====

No. 9
Computed, not measured: a relaxed structure of Zr3Cu4Si2Ge2 at the GGA-PBE level of DFT.

Unit cell a=7.6289 b=7.6289 c=7.6289 alpha=149.86 beta=129.59 gamma=59.86
Element x y z (fractional)
Zr  0.0000  0.0000  0.0000
Zr  0.3752  0.8752  0.5000
Zr  0.6248  0.1248  0.5000
Cu  0.0168  0.3247  0.6921
Cu  0.3675  0.6753  0.6921
Cu  0.6325  0.3247  0.3079
Cu  0.9832  0.6753  0.3079
Si  0.2156  0.2156  0.0000
Si  0.7844  0.7844  0.0000
Ge  0.2997  0.5000  0.7997
Ge  0.7003  0.5000  0.2003

For the energy, the calculation gives -66.425 eV/f.u. The spin magnetization comes out at 0.002 μB/cell.

=====

No. 10
Computed, not measured: a relaxed structure of SmCuGe2 at the GGA-PBE level of DFT.

Unit cell a=3.2976 b=3.2976 c=8.4186 alpha=90.00 beta=90.00 gamma=90.00
Element x y z (fractional)
Sm  0.0000  0.0000  0.0000
Cu  0.5000  0.5000  0.5000
Ge  0.0000  0.0000  0.3477
Ge  0.0000  0.0000  0.6523

For the energy, the calculation gives -16.454 eV/f.u. The spin magnetization comes out at 0.060 μB/cell.

=====

No. 11
Computed, not measured: a relaxed structure of Sm2Cu3Ge5 at the GGA-PBE level of DFT.

Unit cell a=8.4301 b=8.4301 c=6.0987 alpha=111.14 beta=111.14 gamma=92.40
Element x y z (fractional)
Sm  0.1097  0.3630  0.2356
Sm  0.3630  0.1097  0.7356
Sm  0.6370  0.8903  0.2644
Sm  0.8903  0.6370  0.7644
Cu  0.0316  0.7498  0.3999
Cu  0.2502  0.9684  0.1001
Cu  0.5002  0.4998  0.2500
Cu  0.4998  0.5002  0.7500
Cu  0.7498  0.0316  0.8999
Cu  0.9684  0.2502  0.6001
Ge  0.0041  0.9959  0.2500
Ge  0.2397  0.4482  0.8470
Ge  0.2719  0.7281  0.2500
Ge  0.2762  0.7238  0.7500
Ge  0.4482  0.2397  0.3470
Ge  0.5518  0.7603  0.6530
Ge  0.7238  0.2762  0.2500
Ge  0.7281  0.2719  0.7500
Ge  0.7603  0.5518  0.1530
Ge  0.9959  0.0041  0.7500

For the energy, the calculation gives -47.729 eV/f.u. The spin magnetization comes out at 0.002 μB/cell.

=====

No. 12
Computed, not measured: a relaxed structure of SmCuGe at the GGA-PBE level of DFT.

Unit cell a=4.4710 b=4.4710 c=4.4710 alpha=60.00 beta=60.00 gamma=60.00
Element x y z (fractional)
Sm  0.0000  0.0000  0.0000
Cu  0.7500  0.7500  0.7500
Ge  0.5000  0.5000  0.5000

For the energy, the calculation gives -14.706 eV/f.u. The spin magnetization comes out at 0.000 μB/cell.

=====

Question: The lowest spin magnetization belongs to which entry?
Answer: SmCuGe

=====

Copy entry 3 word for word.
Computed, not measured: a relaxed structure of Tb2YCu4Si2Ge2 at the GGA-PBE level of DFT.

Unit cell a=7.9635 b=7.9635 c=7.9635 alpha=149.72 beta=130.94 gamma=58.75
Element x y z (fractional)
Tb  0.1303  0.1303  0.0000
Tb  0.8697  0.8697  0.0000
Y  0.5000  0.0000  0.5000
Cu  0.1364  0.3263  0.8101
Cu  0.4838  0.6737  0.8101
Cu  0.5162  0.3263  0.1899
Cu  0.8636  0.6737  0.1899
Si  0.2838  0.7838  0.5000
Si  0.7162  0.2162  0.5000
Ge  0.1924  0.5000  0.6924
Ge  0.8076  0.5000  0.3076

For the relative energy among the computed polymorphs, the calculation gives 0.000 eV/atom. The spin magnetization comes out at 0.001 μB/cell.

=====

Question: Among the records above, which one has the highest spin magnetization?
Answer: SmCuGe2